DFT (PBE) results for a relaxed structure of Tm12In2Fe3.

The structure in POSCAR format:
```
Tm12In2Fe3
1.0
-4.809 4.809 4.644
4.809 -4.809 4.644
4.809 4.809 -4.644
Tm In Fe
12 2 3
direct
0.045 0.809 0.236
0.191 0.428 0.236
0.191 0.955 0.764
0.307 0.307 0.615
0.307 0.693 0.000
0.428 0.191 0.236
0.572 0.809 0.764
0.693 0.307 0.000
0.693 0.693 0.385
0.809 0.045 0.236
0.809 0.572 0.764
0.955 0.191 0.764
0.000 0.500 0.500
0.500 0.000 0.500
0.000 0.000 0.000
0.384 0.384 0.000
0.616 0.616 0.000
```

Output
formation energy: -0.19 eV per atom
crystal system: tetragonal
total DFT energy (no corrections): -0.3796 Ry per atom

***

DFT (PBE) results for a relaxed structure of Tm12InFe6.

The structure in POSCAR format:
```
Tm12InFe6
1.0
-4.778 4.778 4.778
4.778 -4.778 4.778
4.778 4.778 -4.778
Tm In Fe
12 1 6
direct
0.103 0.806 0.298
0.194 0.298 0.492
0.194 0.702 0.897
0.298 0.103 0.806
0.298 0.492 0.194
0.492 0.194 0.298
0.508 0.806 0.702
0.702 0.508 0.806
0.702 0.897 0.194
0.806 0.298 0.103
0.806 0.702 0.508
0.897 0.194 0.702
0.000 0.000 0.000
0.111 0.611 0.500
0.389 0.500 0.889
0.500 0.111 0.611
0.500 0.889 0.389
0.611 0.500 0.111
0.889 0.389 0.500
```

Output
formation energy: -0.11 eV per atom
crystal system: cubic
total DFT energy (no corrections): -0.4229 Ry per atom

***

DFT (PBE) results for a relaxed structure of Tm6InFe.

The structure in POSCAR format:
```
Tm6InFe
1.0
3.943 -4.906 0.000
3.943 4.906 0.000
-1.625 0.000 5.887
Tm In Fe
6 1 1
direct
0.071 0.704 0.712
0.281 0.281 0.882
0.296 0.929 0.288
0.704 0.071 0.712
0.719 0.719 0.118
0.929 0.296 0.288
0.500 0.500 0.500
0.000 0.000 0.000
```

Output
formation energy: 0.04 eV per atom
crystal system: monoclinic
total DFT energy (no corrections): -0.3467 Ry per atom

***

DFT (PBE) results for a relaxed structure of Tm3InFe8.

The structure in POSCAR format:
```
Tm3InFe8
1.0
5.075 0.000 0.000
-2.538 4.395 0.000
0.000 0.000 8.262
Tm In Fe
3 1 8
direct
0.000 0.000 0.000
0.000 0.000 0.379
0.333 0.667 0.866
0.333 0.667 0.495
0.000 0.500 0.188
0.335 0.168 0.685
0.500 0.000 0.188
0.500 0.500 0.188
0.667 0.333 0.434
0.667 0.333 0.938
0.832 0.168 0.685
0.832 0.665 0.685
```

Output
formation energy: -0.10 eV per atom
crystal system: trigonal
total DFT energy (no corrections): -0.5213 Ry per atom
energy relative to the lowest polymorph listed for this composition: 16.3 meV per atom

***

In the order shown, the computed mass density values come out to 9.4 9.4 8.6 9.6 Mg/m³.